## BeNi (PBEsol)

Data for BeNi after structural relaxation.

Cell and atoms, written as POSCAR:
```
BeNi
1.0
2.452 0.000 0.000
0.000 3.768 -0.008
-1.226 -1.260 3.819
Be Ni
2 2
direct
0.130 0.326 0.259 Be
0.870 0.674 0.741 Be
0.615 0.817 0.230 Ni
0.385 0.183 0.770 Ni
```

DFT total energy ... -5.446 eV per atom
Formation energy ... -0.7 eV per formula unit